(1)
VASP calculation (PBE-GGA) on a relaxed structure of NaH3Pd5.

Geometry as POSCAR:
```
NaH3Pd5
1.0
5.1940 -0.1261 2.4887
1.6960 4.9109 2.4887
0.2503 0.1738 8.4016
Na H Pd
2 6 10
Direct
0.0992 0.0992 0.6815
0.9008 0.9008 0.3185
0.0000 0.0000 0.5000
0.0000 0.0000 0.0000
0.3726 0.3726 0.7218
0.3145 0.3145 0.2088
0.6855 0.6855 0.7912
0.6274 0.6274 0.2782
0.3838 0.9336 0.3316
0.2460 0.2460 0.9889
0.0664 0.6162 0.6684
0.4161 0.4161 0.3435
0.6162 0.0664 0.6684
0.7540 0.7540 0.0111
0.9336 0.3838 0.3316
0.2788 0.7212 0.0000
0.7212 0.2788 0.0000
0.5839 0.5839 0.6565
```

Results
Symmetry ... No. 12
E_tot ... -4.257 eV per atom



(2)
VASP calculation (PBE-GGA) on a relaxed structure of CaTmHf2N4.

Geometry as POSCAR:
```
CaTmHf2N4
1.0
6.6129 0.0060 0.0069
0.0014 6.6129 0.0069
-3.2812 -3.2835 4.6716
Hf N Tm Ca
4 8 2 2
Direct
0.5000 0.0000 0.0000
0.5000 0.5000 0.0000
0.5000 0.0000 0.5000
0.0000 0.0000 0.5000
0.2595 0.2405 0.5123
0.7405 0.7595 0.0123
0.7351 0.2209 0.4780
0.7210 0.2351 0.9780
0.2649 0.7790 0.5220
0.2595 0.2405 0.9877
0.7405 0.7595 0.4877
0.2791 0.7649 0.0220
0.5000 0.5000 0.5000
0.0000 0.0000 0.0000
0.0000 0.5000 0.0000
0.0000 0.5000 0.5000
```

Results
Symmetry ... No. 74
E_tot ... -9.189 eV per atom
E_form (uncorrected) ... -13.83 eV per formula unit



(3)
VASP calculation (PBE-GGA) on a relaxed structure of TeSe2Cl.

Geometry as POSCAR:
```
TeSe2Cl
1.0
8.6242 0.0000 0.0000
0.0000 3.8667 0.0000
0.0000 0.0000 3.8667
Te Cl Se
1 1 2
Direct
0.5000 0.5000 0.0000
0.5000 0.0000 0.5000
0.0000 0.0000 0.0000
0.0000 0.5000 0.5000
```

Results
Symmetry ... No. 123
E_tot ... -2.704 eV per atom
ΔE to the lowest computed polymorph ... 0.428 eV/atom
E_form (uncorrected) ... 1.14 eV per formula unit



(4)
VASP calculation (PBE-GGA) on a relaxed structure of LiPr2Ge4Rh3.

Geometry as POSCAR:
```
LiPr2Ge4Rh3
1.0
4.3708 0.0000 0.0000
0.0000 4.3708 0.0000
0.0000 0.0000 9.8533
Ge Rh Li Pr
4 3 1 2
Direct
0.0000 0.0000 0.0000
0.5000 0.0000 0.6284
0.5000 0.5000 0.0000
0.0000 0.5000 0.3716
0.5000 0.0000 0.8767
0.0000 0.0000 0.5000
0.0000 0.5000 0.1233
0.5000 0.5000 0.5000
0.0000 0.5000 0.7527
0.5000 0.0000 0.2473
```

Results
Symmetry ... No. 115
E_tot ... -5.976 eV per atom
Formation energy ... -0.78 eV per atom



(5)
VASP calculation (PBE-GGA) on a relaxed structure of InC3.

Geometry as POSCAR:
```
InC3
1.0
2.3105 -7.8921 0.0000
2.3105 7.8921 0.0000
0.0000 0.0000 3.4696
C In
6 2
Direct
0.8161 0.1839 0.7500
0.2658 0.0184 0.7500
0.9816 0.7342 0.7500
0.0184 0.2658 0.2500
0.1839 0.8161 0.2500
0.7342 0.9816 0.2500
0.6724 0.3276 0.2500
0.3276 0.6724 0.7500
```

Results
Symmetry ... No. 63
E_tot ... -5.397 eV per atom
ΔE to the lowest computed polymorph ... 1.306 eV/atom
Formation energy ... 2.21 eV per atom



(6)
VASP calculation (PBE-GGA) on a relaxed structure of Y2TiPdC.

Geometry as POSCAR:
```
Y2TiPdC
1.0
-3.3052 4.0998 1.1091
-2.2052 -2.6136 3.0897
3.3776 1.6851 3.8361
Pd Y C Ti
1 2 1 1
Direct
0.0000 0.0000 0.0000
0.5000 0.0000 0.0000
0.0000 0.0000 0.5000
0.5000 0.5000 0.5000
0.0000 0.5000 0.0000
```

Results
Symmetry ... No. 123
E_tot ... -5.880 eV per atom
ΔE to the lowest computed polymorph ... 1.597 eV/atom
Formation energy ... 1.17 eV per atom



(7)
VASP calculation (PBE-GGA) on a relaxed structure of AgH5Rh2.

Geometry as POSCAR:
```
AgH5Rh2
1.0
2.8641 0.0000 -0.8087
-0.5884 4.3555 -2.0838
-0.0705 -0.2250 5.2265
H Rh Ag
5 2 1
Direct
0.3397 0.5502 0.6795
0.6603 0.8707 0.3205
0.6603 0.4498 0.3205
0.0000 0.5000 0.0000
0.3397 0.1293 0.6795
0.1964 0.6964 0.3928
0.8036 0.3036 0.6072
0.0000 0.0000 0.0000
```

Results
Symmetry ... No. 71
E_tot ... -4.277 eV per atom



(8)
VASP calculation (PBE-GGA) on a relaxed structure of ScInS2Cl.

Geometry as POSCAR:
```
ScInS2Cl
1.0
4.9897 0.0000 0.0000
0.0000 4.9897 0.0000
0.0000 0.0000 5.0510
S In Sc Cl
2 1 1 1
Direct
0.5000 0.0000 0.0000
0.0000 0.5000 0.0000
0.5000 0.5000 0.5000
0.0000 0.0000 0.0000
0.0000 0.0000 0.5000
```

Results
Symmetry ... No. 123
E_tot ... -4.847 eV per atom
ΔE to the lowest computed polymorph ... 0.000 eV/atom
E_form (uncorrected) ... -5.06 eV per formula unit



(9)
VASP calculation (PBE-GGA) on a relaxed structure of Li8Hg6Pd.

Geometry as POSCAR:
```
Li8Hg6Pd
1.0
-3.3244 -3.4066 -5.6141
-4.5103 -5.6722 1.2877
-7.2307 0.7477 -0.9969
Hg Li Pd
6 8 1
Direct
0.7255 0.4709 0.8249
0.9788 0.7255 0.8249
0.0212 0.2745 0.1751
0.2745 0.5291 0.1751
0.4709 0.9788 0.8249
0.5291 0.0212 0.1751
0.3348 0.8644 0.6310
0.8644 0.1698 0.6310
0.1698 0.3348 0.6310
0.4091 0.4091 0.7726
0.6652 0.1356 0.3690
0.5909 0.5909 0.2274
0.8302 0.6652 0.3690
0.1356 0.8302 0.3690
0.0000 0.0000 0.0000
```

Results
Symmetry ... No. 148
E_tot ... -1.759 eV per atom
Formation energy ... -0.27 eV per atom



(10)
VASP calculation (PBE-GGA) on a relaxed structure of BaSrHfZrO6.

Geometry as POSCAR:
```
BaSrHfZrO6
1.0
0.0000 4.1998 4.1998
4.1998 0.0000 4.1998
4.1998 4.1998 0.0000
Sr O Hf Ba Zr
1 6 1 1 1
Direct
0.2500 0.2500 0.2500
0.2482 0.7518 0.2482
0.7518 0.7518 0.2482
0.2482 0.7518 0.7518
0.7518 0.2482 0.7518
0.2482 0.2482 0.7518
0.7518 0.2482 0.2482
0.0000 0.0000 0.0000
0.7500 0.7500 0.7500
0.5000 0.5000 0.5000
```

Results
Symmetry ... No. 216
E_tot ... -8.468 eV per atom
E_form (uncorrected) ... -32.82 eV per formula unit



(11)
VASP calculation (PBE-GGA) on a relaxed structure of KTaHg.

Geometry as POSCAR:
```
KTaHg
1.0
-3.1622 -3.3536 0.0581
3.0139 0.0133 -11.4843
4.3610 -0.9428 1.1652
Ta K Hg
2 2 2
Direct
0.1727 0.5019 0.8287
0.8273 0.4981 0.1713
0.0438 0.8208 0.2700
0.9562 0.1792 0.7300
0.4146 0.3692 0.4573
0.5854 0.6308 0.5427
```

Results
Symmetry ... No. 2
E_tot ... -3.945 eV per atom
ΔE to the lowest computed polymorph ... 0.184 eV/atom
Formation energy ... 0.47 eV per atom



(12)
VASP calculation (PBE-GGA) on a relaxed structure of YRu2Au.

Geometry as POSCAR:
```
YRu2Au
1.0
9.0973 0.0243 0.0143
8.5726 3.0450 0.0143
8.5726 1.4891 2.6561
Ru Y Au
2 1 1
Direct
0.4984 0.4984 0.4984
0.0016 0.0016 0.0016
0.2500 0.2500 0.2500
0.7500 0.7500 0.7500
```

Results
Symmetry ... No. 166
E_tot ... -6.555 eV per atom
ΔE to the lowest computed polymorph ... 0.566 eV/atom
Formation energy ... 0.52 eV per atom



(13)
VASP calculation (PBE-GGA) on a relaxed structure of TlCdSnBi.

Geometry as POSCAR:
```
TlCdSnBi
1.0
5.4987 0.0000 0.0000
2.7494 4.7620 0.0000
2.7494 1.5873 4.4897
Bi Sn Cd Tl
1 1 1 1
Direct
0.5000 0.5000 0.5000
0.2500 0.2500 0.2500
0.7500 0.7500 0.7500
0.0000 0.0000 0.0000
```

Results
Symmetry ... No. 216
E_tot ... -2.706 eV per atom
ΔE to the lowest computed polymorph ... 0.030 eV/atom
Formation energy ... 0.09 eV per atom



(14)
VASP calculation (PBE-GGA) on a relaxed structure of CaZr2Be.

Geometry as POSCAR:
```
CaZr2Be
1.0
-5.2350 0.1989 1.6777
-0.6375 -2.0416 5.0681
3.4217 3.7097 -2.1886
Zr Be Ca
2 1 1
Direct
0.0000 0.0000 0.0000
0.5000 0.5000 0.0000
0.2500 0.7500 0.5000
0.7500 0.2500 0.5000
```

Results
Symmetry ... No. 139
E_tot ... -5.218 eV per atom
Formation energy ... 0.49 eV per atom



(15)
VASP calculation (PBE-GGA) on a relaxed structure of NdCdAu4.

Geometry as POSCAR:
```
NdCdAu4
1.0
4.7023 0.0000 -0.0115
0.0000 7.2866 0.0000
-2.2523 0.0000 7.5032
Au Cd Nd
8 2 2
Direct
0.3474 0.9664 0.7043
0.0000 0.0000 0.0000
0.5175 0.7500 0.0361
0.6526 0.0336 0.2957
0.4825 0.2500 0.9639
0.3474 0.5336 0.7043
0.0000 0.5000 0.0000
0.6526 0.4664 0.2957
0.8295 0.7500 0.6670
0.1705 0.2500 0.3330
0.1728 0.7500 0.3413
0.8272 0.2500 0.6587
```

Results
Symmetry ... No. 11
E_tot ... -3.554 eV per atom
Formation energy ... -0.42 eV per atom



(16)
VASP calculation (PBE-GGA) on a relaxed structure of Y2InIr.

Geometry as POSCAR:
```
Y2InIr
1.0
8.0603 0.0000 0.0000
0.0000 8.0603 0.0000
4.0301 4.0301 3.2215
Y In Ir
4 2 2
Direct
0.0725 0.6250 0.2500
0.8750 0.9275 0.7500
0.3750 0.3225 0.7500
0.6775 0.1250 0.2500
0.5000 0.5000 0.0000
0.2500 0.7500 0.5000
0.7500 0.2500 0.5000
0.0000 0.0000 0.0000
```

Results
Symmetry ... No. 122
E_tot ... -6.381 eV per atom
Formation energy ... -0.25 eV per atom



(17)
VASP calculation (PBE-GGA) on a relaxed structure of NiAu3N.

Geometry as POSCAR:
```
NiAu3N
1.0
4.2964 0.0000 0.0000
0.0000 4.2964 0.0000
0.0000 0.0000 4.2964
Ni Au N
1 3 1
Direct
0.5000 0.5000 0.5000
0.0000 0.5000 0.0000
0.5000 0.0000 0.0000
0.0000 0.0000 0.5000
0.0000 0.0000 0.0000
```

Results
Symmetry ... No. 221
E_tot ... -3.875 eV per atom
ΔE to the lowest computed polymorph ... 0.000 eV/atom
E_form (uncorrected) ... 4.56 eV per formula unit



(18)
VASP calculation (PBE-GGA) on a relaxed structure of NiHgW2.

Geometry as POSCAR:
```
NiHgW2
1.0
-2.1385 3.6669 -2.9388
-4.3585 1.9443 1.9697
5.0453 -0.6574 0.8770
W Hg Ni
2 1 1
Direct
0.7704 0.2704 0.5000
0.0092 0.0092 0.0000
0.4845 0.4845 0.0000
0.2359 0.7359 0.5000
```

Results
Symmetry ... No. 44
E_tot ... -7.390 eV per atom
Formation energy ... 0.61 eV per atom



(19)
VASP calculation (PBE-GGA) on a relaxed structure of Tl4CdSb.

Geometry as POSCAR:
```
Tl4CdSb
1.0
0.0000 4.5714 4.5714
4.5714 0.0000 4.5714
4.5714 4.5714 0.0000
Tl Sb Cd
4 1 1
Direct
0.3747 0.3747 0.8758
0.8758 0.3747 0.3747
0.3747 0.8758 0.3747
0.3747 0.3747 0.3747
0.0000 0.0000 0.0000
0.7500 0.7500 0.7500
```

Results
Symmetry ... No. 216
E_tot ... -2.214 eV per atom
ΔE to the lowest computed polymorph ... 0.157 eV/atom
E_form (uncorrected) ... 1.22 eV per formula unit



(20)
VASP calculation (PBE-GGA) on a relaxed structure of ThZn6Ni2.

Geometry as POSCAR:
```
ThZn6Ni2
1.0
4.4683 -0.0184 -0.0176
2.1932 6.1767 1.8347
2.1932 2.1037 6.0903
Zn Ni Th
6 2 1
Direct
0.7082 0.0278 0.5587
0.5000 0.3073 0.6927
0.2918 0.4413 0.9722
0.2918 0.9722 0.4413
0.5000 0.6927 0.3073
0.7082 0.5587 0.0278
0.1074 0.3918 0.3918
0.8926 0.6082 0.6082
0.0000 0.0000 0.0000
```

Results
Symmetry ... No. 12
E_tot ... -3.004 eV per atom
Formation energy ... -0.05 eV per atom